The following is a DFT calculation (PBE-GGA) of Ac2Cd4In3Sn after structural relaxation.

Cell and atoms, written as CIF:
```
data_Ac2Cd4In3Sn
_cell_length_a 4.787
_cell_length_b 4.787
_cell_length_c 12.199
_cell_angle_alpha 90.00
_cell_angle_beta 90.00
_cell_angle_gamma 90.00
_space_group_name_H-M_alt 'P -4 m 2'
_space_group_IT_number 115
_space_group_name_Hall 'P -4 -2'
loop_
_atom_site_label
_atom_site_fract_x
_atom_site_fract_y
_atom_site_fract_z
_atom_site_occupancy
Ac1 0.000 0.500 0.247 1
Cd1 0.000 0.000 0.000 1
Cd2 0.000 0.500 0.640 1
Cd3 0.500 0.500 0.000 1
In1 0.000 0.500 0.865 1
In2 0.500 0.500 0.500 1
Sn1 0.000 0.000 0.500 1
```

Energy of formation from the pure elements = -0.327 eV/atom